# PBE LiPrScRu, relaxed
data_LiPrScRu
_chemical_formula_sum 'Li4 Pr4 Sc4 Ru4'
_cell_length_a 6.895
_cell_length_b 6.895
_cell_length_c 6.895
_cell_angle_alpha 90.00
_cell_angle_beta 90.00
_cell_angle_gamma 90.00
_space_group_name_H-M_alt 'F -4 3 m'
_space_group_IT_number 216
_space_group_name_Hall 'F -4 2 3'
loop_
_atom_site_label
_atom_site_type_symbol
_atom_site_fract_x
_atom_site_fract_y
_atom_site_fract_z
Li1 Li 0.000 0.000 0.000
Pr1 Pr 0.250 0.250 0.250
Sc1 Sc 0.250 0.250 0.750
Ru1 Ru 0.000 0.000 0.500
# Electronic total energy   -23.0 eV per formula unit
# Energy of formation   -183 meV/atom



# PBE LiPr5S6, relaxed
data_LiPr5S6
_chemical_formula_sum 'Li2 Pr10 S12'
_cell_length_a 7.046
_cell_length_b 12.213
_cell_length_c 7.057
_cell_angle_alpha 90.00
_cell_angle_beta 109.50
_cell_angle_gamma 90.00
_space_group_name_H-M_alt 'C 1 2/m 1'
_space_group_IT_number 12
loop_
_space_group_symop_operation_xyz
'x,y,z'
'-x,-y,-z'
'-x,y,-z'
'x,-y,z'
'x+1/2,y+1/2,z'
'-x+1/2,-y+1/2,-z'
'-x+1/2,y+1/2,-z'
'x+1/2,-y+1/2,z'
loop_
_atom_site_label
_atom_site_type_symbol
_atom_site_fract_x
_atom_site_fract_y
_atom_site_fract_z
Li1 Li 0.000 0.000 0.000
Pr1 Pr 0.000 0.166 0.500
Pr2 Pr 0.000 0.334 0.000
Pr3 Pr 0.000 0.500 0.500
S1 S 0.240 0.000 0.759
S2 S 0.243 0.162 0.244
# Electronic total energy   -73.9 eV per formula unit
# Formation energy from raw total energies   -1.947 eV per atom



# PBE LiPrS2, relaxed
data_LiPrS2
_chemical_formula_sum 'Li4 Pr4 S8'
_cell_length_a 5.670
_cell_length_b 5.670
_cell_length_c 11.543
_cell_angle_alpha 90.00
_cell_angle_beta 90.00
_cell_angle_gamma 90.00
_space_group_name_H-M_alt 'I 41/a m d'
_space_group_IT_number 141
loop_
_space_group_symop_operation_xyz
'x,y,z'
'-x,-y,-z'
'-y+1/4,x+3/4,z+1/4'
'y+1/4,-x+3/4,-z+1/4'
'-x+1/2,-y,z+1/2'
'x+1/2,y,-z+1/2'
'y+1/4,-x+1/4,z+3/4'
'-y+1/4,x+1/4,-z+3/4'
'x,-y,-z'
'-x,y,z'
'-y+1/4,-x+1/4,-z+3/4'
'y+1/4,x+1/4,z+3/4'
'-x+1/2,y,-z+1/2'
'x+1/2,-y,z+1/2'
'y+1/4,x+3/4,-z+1/4'
'-y+1/4,-x+3/4,z+1/4'
'x+1/2,y+1/2,z+1/2'
'-x+1/2,-y+1/2,-z+1/2'
'-y+3/4,x+1/4,z+3/4'
'y+3/4,-x+1/4,-z+3/4'
'-x,-y+1/2,z'
'x,y+1/2,-z'
'y+3/4,-x+3/4,z+1/4'
'-y+3/4,x+3/4,-z+1/4'
'x+1/2,-y+1/2,-z+1/2'
'-x+1/2,y+1/2,z+1/2'
'-y+3/4,-x+3/4,-z+1/4'
'y+3/4,x+3/4,z+1/4'
'-x,y+1/2,-z'
'x,-y+1/2,z'
'y+3/4,x+1/4,-z+3/4'
'-y+3/4,-x+1/4,z+3/4'
loop_
_atom_site_label
_atom_site_type_symbol
_atom_site_fract_x
_atom_site_fract_y
_atom_site_fract_z
Li1 Li 0.000 0.250 0.375
Pr1 Pr 0.000 0.250 0.875
S1 S 0.000 0.250 0.122
# Electronic total energy   -22.0 eV per formula unit
# Formation energy from raw total energies   -1.754 eV per atom



# PBE LiPr2S4, relaxed
data_LiPr2S4
_chemical_formula_sum 'Li2 Pr4 S8'
_cell_length_a 6.919
_cell_length_b 5.566
_cell_length_c 8.256
_cell_angle_alpha 90.00
_cell_angle_beta 107.53
_cell_angle_gamma 90.00
_space_group_name_H-M_alt 'P 1 21/m 1'
_space_group_IT_number 11
loop_
_space_group_symop_operation_xyz
'x,y,z'
'-x,-y,-z'
'-x,y+1/2,-z'
'x,-y+1/2,z'
loop_
_atom_site_label
_atom_site_type_symbol
_atom_site_fract_x
_atom_site_fract_y
_atom_site_fract_z
Li1 Li 0.236 0.250 0.184
Pr1 Pr 0.227 0.750 0.436
Pr2 Pr 0.246 0.750 0.933
S1 S 0.064 0.250 0.895
S2 S 0.067 0.250 0.388
S3 S 0.488 0.011 0.744
# Electronic total energy   -39.8 eV per formula unit
# Formation energy from raw total energies   -1.693 eV per atom



# PBE Li3PrS3, relaxed
data_Li3PrS3
_chemical_formula_sum 'Li18 Pr6 S18'
_cell_length_a 7.1382
_cell_length_b 7.1382
_cell_length_c 19.9797
_cell_angle_alpha 90.00
_cell_angle_beta 90.00
_cell_angle_gamma 120.00
_space_group_name_H-M_alt 'R -3'
_space_group_IT_number 148
_space_group_name_Hall '-R 3'
loop_
_atom_site_label
_atom_site_type_symbol
_atom_site_fract_x
_atom_site_fract_y
_atom_site_fract_z
Li1 Li 0.0093 0.7005 0.1230
Pr1 Pr 0.0000 0.0000 0.3335
S1 S 0.0036 0.6417 0.9137
# Electronic total energy   -33.9 eV per formula unit
# Formation energy from raw total energies   -1.576 eV per atom



# PBE Li2PrS2, relaxed
data_Li2PrS2
_chemical_formula_sum 'Li2 Pr1 S2'
_cell_length_a 4.0078
_cell_length_b 4.0078
_cell_length_c 6.9185
_cell_angle_alpha 90.00
_cell_angle_beta 90.00
_cell_angle_gamma 120.00
_space_group_name_H-M_alt 'P -3 m 1'
_space_group_IT_number 164
_space_group_name_Hall '-P 3 2"'
loop_
_atom_site_label
_atom_site_type_symbol
_atom_site_fract_x
_atom_site_fract_y
_atom_site_fract_z
Li1 Li 0.3333 0.6667 0.1253
Pr1 Pr 0.0000 0.0000 0.5000
S1 S 0.3333 0.6667 0.7632
# Electronic total energy   -24.6 eV per formula unit
# Formation energy from raw total energies   -1.543 eV per atom



# PBE LiPrS2, relaxed
data_LiPrS2
_chemical_formula_sum 'Li1 Pr1 S2'
_cell_length_a 4.080
_cell_length_b 4.080
_cell_length_c 5.547
_cell_angle_alpha 90.00
_cell_angle_beta 90.00
_cell_angle_gamma 90.00
_space_group_name_H-M_alt 'P 4/m m m'
_space_group_IT_number 123
_space_group_name_Hall '-P 4 2'
loop_
_atom_site_label
_atom_site_type_symbol
_atom_site_fract_x
_atom_site_fract_y
_atom_site_fract_z
Li1 Li 0.000 0.000 0.000
Pr1 Pr 0.500 0.500 0.500
S1 S 0.000 0.000 0.500
S2 S 0.500 0.500 0.000
# Electronic total energy   -21.7 eV per formula unit
# Formation energy from raw total energies   -1.697 eV per atom



# PBE LiPrS2, relaxed
data_LiPrS2
_chemical_formula_sum 'Li3 Pr3 S6'
_cell_length_a 4.0646
_cell_length_b 4.0646
_cell_length_c 20.2527
_cell_angle_alpha 90.00
_cell_angle_beta 90.00
_cell_angle_gamma 120.00
_space_group_name_H-M_alt 'R 3 m'
_space_group_IT_number 160
_space_group_name_Hall 'R 3 -2"'
loop_
_atom_site_label
_atom_site_type_symbol
_atom_site_fract_x
_atom_site_fract_y
_atom_site_fract_z
Li1 Li 0.0000 0.0000 0.0000
Pr1 Pr 0.0000 0.0000 0.8158
S1 S 0.0000 0.0000 0.2261
S2 S 0.0000 0.0000 0.3981
# Electronic total energy   -21.7 eV per formula unit
# Formation energy from raw total energies   -1.690 eV per atom



# PBE Li3Pr2S4, relaxed
data_Li3Pr2S4
_chemical_formula_sum 'Li6 Pr4 S8'
_cell_length_a 6.967
_cell_length_b 4.014
_cell_length_c 14.122
_cell_angle_alpha 90.00
_cell_angle_beta 90.88
_cell_angle_gamma 90.00
_space_group_name_H-M_alt 'C 1 2/m 1'
_space_group_IT_number 12
loop_
_space_group_symop_operation_xyz
'x,y,z'
'-x,-y,-z'
'-x,y,-z'
'x,-y,z'
'x+1/2,y+1/2,z'
'-x+1/2,-y+1/2,-z'
'-x+1/2,y+1/2,-z'
'x+1/2,-y+1/2,z'
loop_
_atom_site_label
_atom_site_type_symbol
_atom_site_fract_x
_atom_site_fract_y
_atom_site_fract_z
Li1 Li 0.000 0.000 0.000
Li2 Li 0.155 0.500 0.600
Pr1 Pr 0.174 0.500 0.219
S1 S 0.011 0.000 0.351
S2 S 0.163 0.500 0.896
# Electronic total energy   -46.0 eV per formula unit
# Formation energy from raw total energies   -1.576 eV per atom



# PBE LiPr2S3, relaxed
data_LiPr2S3
_chemical_formula_sum 'Li2 Pr4 S6'
_cell_length_a 4.038
_cell_length_b 5.742
_cell_length_c 12.084
_cell_angle_alpha 90.00
_cell_angle_beta 90.00
_cell_angle_gamma 90.00
_space_group_name_H-M_alt 'I m m m'
_space_group_IT_number 71
_space_group_name_Hall '-I 2 2'
loop_
_atom_site_label
_atom_site_type_symbol
_atom_site_fract_x
_atom_site_fract_y
_atom_site_fract_z
Li1 Li 0.000 0.000 0.000
Pr1 Pr 0.000 0.000 0.335
S1 S 0.000 0.500 0.000
S2 S 0.000 0.500 0.341
# Electronic total energy   -35.0 eV per formula unit
# Offset from the most stable computed form   0 meV per atom
# Formation energy from raw total energies   -1.852 eV per atom



# PBE LiPrS2, relaxed
data_LiPrS2
_chemical_formula_sum 'Li3 Pr3 S6'
_cell_length_a 6.6611
_cell_length_b 6.6611
_cell_length_c 7.6602
_cell_angle_alpha 90.00
_cell_angle_beta 90.00
_cell_angle_gamma 120.00
_space_group_name_H-M_alt 'P 31 2 1'
_space_group_IT_number 152
loop_
_space_group_symop_operation_xyz
'x,y,z'
'-y,x-y,z+1/3'
'-x+y,-x,z+2/3'
'y,x,-z'
'x-y,-y,-z+2/3'
'-x,-x+y,-z+1/3'
loop_
_atom_site_label
_atom_site_type_symbol
_atom_site_fract_x
_atom_site_fract_y
_atom_site_fract_z
Li1 Li 0.0000 0.5982 0.1667
Pr1 Pr 0.0000 0.6294 0.6667
S1 S 0.0607 0.3878 0.3985
# Electronic total energy   -21.5 eV per formula unit
# Formation energy from raw total energies   -1.639 eV per atom